Arrangement P

First-principles (PBE+U) data for a geometry-optimized K2RbVF6 structure, as listed in the Alexandria database.

CIF file:
```
data_K2RbVF6
_chemical_formula_sum 'K8 Rb4 V4 F24'
_symmetry_space_group_name_H-M 'F m -3 m'
_symmetry_Int_Tables_number 225
_symmetry_space_group_name_Hall '-F 4 2 3'
_cell_length_a 9.186
_cell_length_b 9.186
_cell_length_c 9.186
_cell_angle_alpha 90.00
_cell_angle_beta 90.00
_cell_angle_gamma 90.00
loop_
_atom_site_label
_atom_site_fract_x
_atom_site_fract_y
_atom_site_fract_z
_atom_site_occupancy
K1 0.250 0.250 0.250 1
Rb1 0.000 0.000 0.000 1
V1 0.000 0.000 0.500 1
F1 0.000 0.000 0.285 1
```

Arrangement Q

First-principles (PBE+U) data for a geometry-optimized K2RbVF6 structure, as listed in the Alexandria database.

CIF file:
```
data_K2RbVF6
_chemical_formula_sum 'K4 Rb2 V2 F12'
_symmetry_space_group_name_H-M 'P 1 21/c 1'
_symmetry_Int_Tables_number 14
_cell_length_a 6.260
_cell_length_b 6.563
_cell_length_c 10.881
_cell_angle_alpha 90.00
_cell_angle_beta 124.81
_cell_angle_gamma 90.00
loop_
_symmetry_equiv_pos_as_xyz
'x,y,z'
'-x,-y,-z'
'-x,y+1/2,-z+1/2'
'x,-y+1/2,z+1/2'
loop_
_atom_site_label
_atom_site_fract_x
_atom_site_fract_y
_atom_site_fract_z
_atom_site_occupancy
K1 0.227 0.052 0.244 1
Rb1 0.000 0.000 0.500 1
V1 0.500 0.000 0.000 1
F1 0.197 0.164 0.955 1
F2 0.273 0.748 0.423 1
F3 0.410 0.062 0.796 1
```

Relative stability in meV per atom, measured from the most stable structure: arrangement P 135; arrangement Q 0